{"formula": "ZnCdTeO6", "functional": "PBE", "state": "relaxed", "lattice": [[-0.4679, 2.9121, -4.3794], [0.7623, -5.2120, -0.3643], [-9.5266, -1.3995, 0.0871]], "species": ["O", "O", "O", "O", "O", "O", "O", "O", "O", "O", "O", "O", "Zn", "Zn", "Te", "Te", "Cd", "Cd"], "fractional_positions": [[0.6421, 0.6261, 0.6371], [0.9840, 0.6261, 0.8629], [0.0160, 0.6420, 0.3629], [0.6261, 0.6420, 0.1371], [0.6421, 0.0160, 0.8629], [0.3739, 0.0160, 0.6371], [0.3579, 0.3739, 0.3629], [0.0160, 0.3739, 0.1371], [0.3739, 0.3580, 0.8629], [0.3579, 0.9840, 0.1371], [0.6261, 0.9840, 0.3629], [0.9840, 0.3580, 0.6371], [0.3333, 0.6667, 0.7500], [0.6667, 0.3333, 0.2500], [0.6667, 0.3333, 0.7500], [0.3333, 0.6667, 0.2500], [0.0000, 0.0000, 0.0000], [0.0000, 0.0000, 0.5000]], "e_form_raw_mev_per_atom": -818.2, "sg": "P-31c (163)", "energy_ev_per_atom": -4.7160}



{"formula": "Zn3Cd3Te2O12", "functional": "PBE", "state": "relaxed", "lattice": [[11.0443, 0.0000, 0.0000], [-3.6814, 10.4126, 0.0000], [-3.6814, -5.2063, 9.0176]], "species": ["O", "O", "O", "O", "O", "O", "O", "O", "O", "O", "O", "O", "O", "O", "O", "O", "O", "O", "O", "O", "O", "O", "O", "O", "O", "O", "O", "O", "O", "O", "O", "O", "O", "O", "O", "O", "O", "O", "O", "O", "O", "O", "O", "O", "O", "O", "O", "O", "Cd", "Cd", "Cd", "Cd", "Cd", "Cd", "Cd", "Cd", "Cd", "Cd", "Cd", "Cd", "Te", "Te", "Te", "Te", "Te", "Te", "Te", "Te", "Zn", "Zn", "Zn", "Zn", "Zn", "Zn", "Zn", "Zn", "Zn", "Zn", "Zn", "Zn"], "fractional_positions": [[0.6912, 0.6690, 0.0702], [0.1912, 0.5702, 0.1690], [0.4298, 0.8310, 0.8088], [0.8790, 0.4012, 0.0702], [0.4298, 0.0988, 0.6210], [0.5988, 0.1690, 0.4778], [0.5988, 0.9298, 0.1210], [0.8790, 0.9778, 0.8088], [0.5702, 0.9012, 0.3790], [0.6210, 0.4298, 0.0988], [0.3790, 0.5702, 0.9012], [0.5222, 0.6210, 0.6912], [0.8310, 0.5222, 0.4012], [0.3310, 0.9012, 0.0222], [0.9778, 0.8088, 0.8790], [0.9012, 0.0222, 0.3310], [0.3310, 0.9298, 0.3088], [0.4012, 0.0702, 0.8790], [0.5222, 0.4012, 0.8310], [0.4012, 0.8310, 0.5222], [0.9298, 0.3088, 0.3310], [0.1690, 0.4778, 0.5988], [0.9012, 0.3790, 0.5702], [0.8088, 0.8790, 0.9778], [0.1210, 0.5988, 0.9298], [0.6912, 0.5222, 0.6210], [0.8088, 0.4298, 0.8310], [0.1690, 0.1912, 0.5702], [0.0702, 0.6912, 0.6690], [0.8310, 0.8088, 0.4298], [0.5702, 0.1690, 0.1912], [0.3088, 0.4778, 0.3790], [0.3088, 0.3310, 0.9298], [0.9778, 0.6690, 0.0988], [0.3790, 0.3088, 0.4778], [0.4778, 0.3790, 0.3088], [0.1912, 0.1210, 0.0222], [0.6690, 0.0988, 0.9778], [0.0222, 0.1912, 0.1210], [0.0222, 0.3310, 0.9012], [0.6210, 0.6912, 0.5222], [0.0988, 0.9778, 0.6690], [0.0988, 0.6210, 0.4298], [0.0702, 0.8790, 0.4012], [0.6690, 0.0702, 0.6912], [0.9298, 0.1210, 0.5988], [0.1210, 0.0222, 0.1912], [0.4778, 0.5988, 0.1690], [0.3750, 0.1250, 0.2500], [0.1250, 0.3750, 0.7500], [0.7500, 0.6250, 0.8750], [0.6250, 0.8750, 0.7500], [0.3750, 0.7500, 0.1250], [0.1250, 0.2500, 0.3750], [0.8750, 0.6250, 0.2500], [0.8750, 0.7500, 0.6250], [0.2500, 0.3750, 0.1250], [0.2500, 0.8750, 0.6250], [0.7500, 0.1250, 0.3750], [0.6250, 0.2500, 0.8750], [0.0000, 0.5000, 0.0000], [0.5000, 0.5000, 0.0000], [0.5000, 0.0000, 0.5000], [0.0000, 0.5000, 0.5000], [0.0000, 0.0000, 0.0000], [0.0000, 0.0000, 0.5000], [0.5000, 0.0000, 0.0000], [0.5000, 0.5000, 0.5000], [0.8750, 0.1250, 0.7500], [0.7500, 0.8750, 0.1250], [0.8750, 0.2500, 0.1250], [0.3750, 0.6250, 0.7500], [0.2500, 0.1250, 0.8750], [0.7500, 0.3750, 0.6250], [0.1250, 0.8750, 0.2500], [0.3750, 0.2500, 0.6250], [0.2500, 0.6250, 0.3750], [0.6250, 0.7500, 0.3750], [0.1250, 0.7500, 0.8750], [0.6250, 0.3750, 0.2500]], "e_form_raw_mev_per_atom": -1211.3, "sg": "Ia-3d (230)", "energy_ev_per_atom": -4.8287}



{"formula": "ZnCdTe2O8", "functional": "PBE", "state": "relaxed", "lattice": [[-1.5721, 4.1616, 4.1494], [4.2862, -3.8745, 1.9038], [2.2573, 2.9857, -4.7956]], "species": ["Cd", "Te", "Te", "O", "O", "O", "O", "O", "O", "O", "O", "Zn"], "fractional_positions": [[0.0000, 0.0000, 0.0000], [0.5000, 0.5000, 0.0000], [0.7500, 0.2500, 0.5000], [0.3198, 0.5163, 0.1965], [0.7480, 0.0607, 0.6874], [0.9393, 0.6267, 0.6874], [0.8767, 0.6802, 0.1965], [0.3733, 0.0607, 0.3126], [0.9393, 0.2520, 0.3126], [0.3198, 0.1233, 0.8035], [0.4837, 0.6802, 0.8035], [0.2500, 0.7500, 0.5000]], "e_form_raw_mev_per_atom": -806.2, "sg": "I-4m2 (119)", "energy_ev_per_atom": -4.8177}



{"formula": "ZrCdTe2O8", "functional": "PBE", "state": "relaxed", "lattice": [[6.1311, 0.2124, 0.0000], [-2.5289, 5.5892, 0.0000], [-1.8011, -2.9008, 5.0967]], "species": ["Cd", "O", "O", "O", "O", "O", "O", "O", "O", "Te", "Te", "Zr"], "fractional_positions": [[0.0000, 0.0000, 0.0000], [0.4886, 0.6958, 0.7929], [0.7311, 0.0497, 0.6814], [0.3042, 0.5114, 0.2071], [0.9503, 0.6317, 0.6814], [0.3042, 0.0971, 0.7929], [0.9029, 0.6958, 0.2071], [0.9503, 0.2689, 0.3186], [0.3683, 0.0497, 0.3186], [0.7500, 0.2500, 0.5000], [0.5000, 0.5000, 0.0000], [0.2500, 0.7500, 0.5000]], "e_form_raw_mev_per_atom": -1346.1, "sg": "I-4m2 (119)", "energy_ev_per_atom": -5.9638}



{"formula": "Zr2CdTeO8", "functional": "PBE", "state": "relaxed", "lattice": [[-4.7642, 0.7124, -0.7337], [-0.9855, -4.3693, 1.9165], [-0.5165, 2.7644, 6.0369]], "species": ["Cd", "O", "O", "O", "O", "O", "O", "O", "O", "Zr", "Zr", "Te"], "fractional_positions": [[0.0000, 0.0000, 0.5000], [0.2870, 0.2871, 0.0000], [0.7130, 0.7129, 0.0000], [0.1951, 0.8048, 0.7884], [0.1952, 0.8048, 0.2116], [0.8048, 0.1952, 0.7884], [0.8049, 0.1952, 0.2116], [0.6822, 0.6826, 0.5000], [0.3178, 0.3174, 0.5000], [0.5000, 0.5000, 0.2554], [0.5000, 0.5000, 0.7446], [0.0000, 0.0000, 0.0000]], "e_form_raw_mev_per_atom": -2154.2, "sg": "Cmmm (65)", "energy_ev_per_atom": -7.2224}



{"formula": "ZrCd2TeO6", "functional": "PBE", "state": "relaxed", "lattice": [[4.9666, 0.0000, 0.0000], [0.0000, 5.7574, 0.0000], [0.0000, 0.0000, 5.7574]], "species": ["Zr", "O", "O", "O", "O", "O", "O", "Cd", "Cd", "Te"], "fractional_positions": [[0.5985, 0.0000, 0.0000], [0.7338, 0.7547, 0.7547], [0.0633, 0.5000, 0.5000], [0.7338, 0.2453, 0.7547], [0.2115, 0.0000, 0.0000], [0.7338, 0.7547, 0.2453], [0.7338, 0.2453, 0.2453], [0.9827, 0.0000, 0.5000], [0.9827, 0.5000, 0.0000], [0.6731, 0.5000, 0.5000]], "e_form_raw_mev_per_atom": -1474.7, "sg": "P4mm (99)", "energy_ev_per_atom": -5.8016}



{"formula": "Th2CdO", "functional": "PBE", "state": "relaxed", "lattice": [[3.5084, 0.0000, 0.0000], [1.7542, 3.0384, 0.0000], [1.7542, 1.0128, 9.7618]], "species": ["O", "Cd", "Th", "Th"], "fractional_positions": [[0.5000, 0.5000, 0.5000], [0.0000, 0.0000, 0.0000], [0.1145, 0.1145, 0.6564], [0.8855, 0.8855, 0.3436]], "e_form_raw_mev_per_atom": -917.7, "sg": "R-3m (166)", "energy_ev_per_atom": -6.0959}



{"formula": "Th3Cd5O12", "functional": "PBE", "state": "relaxed", "lattice": [[11.6590, 0.0000, 0.0000], [-3.8863, 10.9922, 0.0000], [-3.8863, -5.4961, 9.5195]], "species": ["Cd", "Cd", "Cd", "Cd", "Cd", "Cd", "Cd", "Cd", "Cd", "Cd", "Cd", "Cd", "Cd", "Cd", "Cd", "Cd", "Cd", "Cd", "Cd", "Cd", "O", "O", "O", "O", "O", "O", "O", "O", "O", "O", "O", "O", "O", "O", "O", "O", "O", "O", "O", "O", "O", "O", "O", "O", "O", "O", "O", "O", "O", "O", "O", "O", "O", "O", "O", "O", "O", "O", "O", "O", "O", "O", "O", "O", "O", "O", "O", "O", "Th", "Th", "Th", "Th", "Th", "Th", "Th", "Th", "Th", "Th", "Th", "Th"], "fractional_positions": [[0.1250, 0.3750, 0.2500], [0.0000, 0.5000, 0.5000], [0.6250, 0.7500, 0.8750], [0.1250, 0.7500, 0.3750], [0.0000, 0.0000, 0.5000], [0.3750, 0.2500, 0.1250], [0.5000, 0.0000, 0.5000], [0.7500, 0.6250, 0.3750], [0.3750, 0.1250, 0.7500], [0.5000, 0.5000, 0.0000], [0.2500, 0.3750, 0.6250], [0.0000, 0.5000, 0.0000], [0.0000, 0.0000, 0.0000], [0.5000, 0.5000, 0.5000], [0.6250, 0.8750, 0.2500], [0.5000, 0.0000, 0.0000], [0.2500, 0.8750, 0.1250], [0.8750, 0.6250, 0.7500], [0.7500, 0.1250, 0.8750], [0.8750, 0.2500, 0.6250], [0.5859, 0.8613, 0.4155], [0.3613, 0.9457, 0.7754], [0.3613, 0.4155, 0.0859], [0.5845, 0.9457, 0.6703], [0.0845, 0.9141, 0.1387], [0.0543, 0.6387, 0.7246], [0.5543, 0.3297, 0.9155], [0.5543, 0.2246, 0.1387], [0.5845, 0.6387, 0.4141], [0.2246, 0.5543, 0.6387], [0.4457, 0.7754, 0.8613], [0.4155, 0.3613, 0.5859], [0.5859, 0.7246, 0.6703], [0.7246, 0.1387, 0.0543], [0.8613, 0.2754, 0.4457], [0.2754, 0.8613, 0.9457], [0.8297, 0.9141, 0.2754], [0.3297, 0.7754, 0.4141], [0.6387, 0.5845, 0.9141], [0.0859, 0.1703, 0.2246], [0.4141, 0.1387, 0.5845], [0.8613, 0.5859, 0.9155], [0.1387, 0.7246, 0.5543], [0.1703, 0.0845, 0.9457], [0.7246, 0.5859, 0.1703], [0.0859, 0.9155, 0.3613], [0.9155, 0.0859, 0.8613], [0.7754, 0.3297, 0.9141], [0.4155, 0.0543, 0.3297], [0.3297, 0.5543, 0.4155], [0.2246, 0.6703, 0.0859], [0.6703, 0.2246, 0.5859], [0.6387, 0.0543, 0.2246], [0.9457, 0.3613, 0.2754], [0.8297, 0.9155, 0.0543], [0.7754, 0.4457, 0.3613], [0.4141, 0.2754, 0.3297], [0.6703, 0.4457, 0.5845], [0.0845, 0.1703, 0.4457], [0.9141, 0.8297, 0.7754], [0.1387, 0.4141, 0.0845], [0.9141, 0.0845, 0.6387], [0.9155, 0.8297, 0.5543], [0.9457, 0.5845, 0.1703], [0.2754, 0.4141, 0.8297], [0.0543, 0.4155, 0.8297], [0.1703, 0.0859, 0.7246], [0.4457, 0.6703, 0.0845], [0.3750, 0.7500, 0.6250], [0.8750, 0.1250, 0.2500], [0.6250, 0.3750, 0.7500], [0.2500, 0.6250, 0.8750], [0.1250, 0.2500, 0.8750], [0.1250, 0.8750, 0.7500], [0.6250, 0.2500, 0.3750], [0.7500, 0.3750, 0.1250], [0.8750, 0.7500, 0.1250], [0.7500, 0.8750, 0.6250], [0.2500, 0.1250, 0.3750], [0.3750, 0.6250, 0.2500]], "e_form_raw_mev_per_atom": -2060.7, "sg": "Ia-3d (230)", "energy_ev_per_atom": -6.3773}



{"formula": "ThCdO", "functional": "PBE", "state": "relaxed", "lattice": [[3.7817, 0.0000, 0.0000], [0.0000, 3.7817, 0.0000], [-1.8909, -1.8909, 8.9106]], "species": ["Cd", "Cd", "Th", "Th", "O", "O"], "fractional_positions": [[0.2930, 0.2930, 0.5860], [0.7070, 0.7070, 0.4140], [0.0855, 0.0855, 0.1709], [0.9145, 0.9145, 0.8291], [0.0000, 0.5000, 0.0000], [0.5000, 0.0000, 0.0000]], "e_form_raw_mev_per_atom": -1601.4, "sg": "I4/mmm (139)", "energy_ev_per_atom": -6.0325}



{"formula": "ThUCdO6", "functional": "PBE", "state": "relaxed", "lattice": [[5.6618, 0.0000, 0.0000], [-2.8309, 4.9032, 0.0000], [0.0000, 0.0000, 10.1583]], "species": ["O", "O", "O", "O", "O", "O", "O", "O", "O", "O", "O", "O", "Th", "Th", "Cd", "Cd", "U", "U"], "fractional_positions": [[0.9663, 0.6464, 0.3669], [0.0337, 0.3536, 0.6331], [0.0337, 0.6801, 0.8669], [0.6464, 0.6801, 0.6331], [0.3536, 0.0337, 0.1331], [0.9663, 0.3199, 0.1331], [0.6801, 0.6464, 0.1331], [0.3199, 0.9663, 0.6331], [0.3536, 0.3199, 0.3669], [0.6464, 0.9663, 0.8669], [0.6801, 0.0337, 0.3669], [0.3199, 0.3536, 0.8669], [0.0000, 0.0000, 0.0000], [0.0000, 0.0000, 0.5000], [0.3333, 0.6667, 0.2500], [0.6667, 0.3333, 0.7500], [0.3333, 0.6667, 0.7500], [0.6667, 0.3333, 0.2500]], "e_form_raw_mev_per_atom": -2850.8, "sg": "P-31c (163)", "energy_ev_per_atom": -8.3366}



{"formula": "Ti2CdO4", "functional": "PBE", "state": "relaxed", "lattice": [[-4.7727, -1.4569, -3.7703], [3.8734, -3.3599, -3.5879], [-0.3882, -1.1779, 6.1225]], "species": ["O", "O", "O", "O", "O", "O", "O", "O", "Cd", "Cd", "Ti", "Ti", "Ti", "Ti"], "fractional_positions": [[0.8570, 0.1429, 0.2847], [0.3928, 0.6069, 0.7845], [0.8224, 0.6081, 0.2154], [0.3918, 0.1776, 0.7846], [0.3930, 0.6071, 0.2153], [0.8572, 0.1431, 0.7155], [0.4276, 0.1419, 0.2846], [0.8582, 0.5724, 0.7154], [0.0000, 0.9996, 0.9998], [0.2500, 0.7504, 0.5002], [0.6250, 0.3750, 0.2500], [0.6250, 0.8750, 0.2500], [0.1250, 0.3750, 0.7500], [0.6250, 0.3750, 0.7500]], "e_form_raw_mev_per_atom": -2322.4, "sg": "I4_1/amd (141)", "energy_ev_per_atom": -7.5421}



{"formula": "Ti2CdO2", "functional": "PBE", "state": "relaxed", "lattice": [[-2.7118, 2.0704, -1.7869], [-2.5551, -1.0206, 2.6951], [-1.2785, 4.8081, 3.3606]], "species": ["O", "O", "Ti", "Ti", "Cd"], "fractional_positions": [[0.3100, 0.3100, 0.3799], [0.6900, 0.6900, 0.6201], [0.2500, 0.7500, 0.5000], [0.7500, 0.2500, 0.5000], [0.0000, 0.0000, 0.0000]], "e_form_raw_mev_per_atom": -1619.2, "sg": "I4/mmm (139)", "energy_ev_per_atom": -6.9434}



Number 1: mass density 5.73 g/cm³. Number 2: mass density 6.28 g/cm³. Number 3: mass density 5.40 g/cm³. Number 4: mass density 5.49 g/cm³. Number 5: mass density 5.78 g/cm³. Number 6: mass density 5.44 g/cm³. Number 7: mass density 9.45 g/cm³. Number 8: mass density 7.90 g/cm³. Number 9: mass density 9.39 g/cm³. Number 10: mass density 7.99 g/cm³. Number 11: mass density 5.22 g/cm³. Number 12: mass density 5.02 g/cm³.